Sr3SnHg after structural relaxation. Source: the Alexandria database, functional GGA-PBE.

```
Sr3SnHg
1.0
2.8532 -11.4199 0.0000
2.8532 11.4199 0.0000
0.0000 0.0000 5.7148
Sr Sn Hg
6 2 2
Cartesian
2.8532 9.7163 4.2861 Sr
2.8532 5.7091 4.2861 Sr
2.8532 1.7041 4.2861 Sr
2.8532 -1.7041 1.4287 Sr
2.8532 -5.7091 1.4287 Sr
2.8532 -9.7163 1.4287 Sr
2.8532 7.7358 1.4287 Sn
2.8532 -7.7358 4.2861 Sn
2.8532 3.5542 1.4287 Hg
2.8532 -3.5542 4.2861 Hg
```

Properties
Total magnetic moment ... 0.00 μB/atom
Total energy ... -2.3950 eV per atom
ΔH_f (0 K) ... -2.63 eV/f.u.
Crystal system ... orthorhombic
Polymorph energy (0 for the lowest one) ... 0 meV per atom